(a)
A plane-wave DFT calculation with GGA-PBE was carried out for a geometry-optimized Sc2HgF structure.

The space group is Fm-3m (No. 225) and the conventional cell measures 6.784, 6.784 and 6.784 Å, with angles of 90.00, 90.00 and 90.00 degrees. The inequivalent atoms are Sc at (0.250, 0.250, 0.250), Hg at (0.000, 0.000, 0.000) and F at (0.000, 0.000, 0.500).

Its magnetic moment is 0.000 μB/f.u. The value obtained for the density is 6.585 g/cm3.

(b)
A plane-wave DFT calculation with GGA-PBE was carried out for a geometry-optimized Sc2HgF structure.

The space group is R-3m (No. 166, hexagonal axes) and the conventional cell measures 3.4562, 3.4562 and 24.7404 Å, with angles of 90.00, 90.00 and 120.00 degrees. The inequivalent atoms are Sc at (0.0000, 0.0000, 0.1166), Hg at (0.0000, 0.0000, 0.0000) and F at (0.0000, 0.0000, 0.5000).

Its magnetic moment is 0.000 μB/f.u. The value obtained for the density is 6.024 g/cm3.

Energies relative to the minimum, meV per atom: (a) 0; (b) 14

(a)
A plane-wave DFT calculation with GGA-PBE was carried out for a geometry-optimized HgSe3F structure.

The space group is Pm-3m (No. 221) and the conventional cell measures 4.749, 4.749 and 4.749 Å, with angles of 90.00, 90.00 and 90.00 degrees. The inequivalent atoms are Hg at (0.000, 0.000, 0.000), Se at (0.000, 0.500, 0.500) and F at (0.500, 0.500, 0.500).

Its magnetic moment is 0.000 μB/f.u. The value obtained for the density is 7.079 g/cm3.

(b)
A plane-wave DFT calculation with GGA-PBE was carried out for a geometry-optimized HgSe3F structure.

The space group is Pm-3m (No. 221) and the conventional cell measures 5.275, 5.275 and 5.275 Å, with angles of 90.00, 90.00 and 90.00 degrees. The inequivalent atoms are Hg at (0.000, 0.000, 0.000), Se at (0.000, 0.000, 0.500) and F at (0.500, 0.500, 0.500).

Its magnetic moment is 3.925 μB/f.u. The value obtained for the density is 5.164 g/cm3.

Energies relative to the minimum, meV per atom: (a) 0; (b) 317

(a)
A plane-wave DFT calculation with GGA-PBE was carried out for a geometry-optimized Hg2SeF structure.

The space group is R-3m (No. 166, hexagonal axes) and the conventional cell measures 4.4203, 4.4203 and 21.4546 Å, with angles of 90.00, 90.00 and 120.00 degrees. The inequivalent atoms are Hg at (0.0000, 0.0000, 0.1050), Se at (0.0000, 0.0000, 0.5000) and F at (0.0000, 0.0000, 0.0000).

Its magnetic moment is 0.000 μB/f.u. The value obtained for the density is 6.849 g/cm3.

(b)
A plane-wave DFT calculation with GGA-PBE was carried out for a geometry-optimized Hg2SeF structure.

The space group is Fm-3m (No. 225) and the conventional cell measures 6.820, 6.820 and 6.820 Å, with angles of 90.00, 90.00 and 90.00 degrees. The inequivalent atoms are Hg at (0.250, 0.250, 0.250), Se at (0.000, 0.000, 0.000) and F at (0.000, 0.000, 0.500).

Its magnetic moment is 0.000 μB/f.u. The value obtained for the density is 10.449 g/cm3.

(c)
A plane-wave DFT calculation with GGA-PBE was carried out for a geometry-optimized Hg2SeF structure.

The space group is P3_121 (No. 152) and the conventional cell measures 3.0490, 3.0490 and 30.5575 Å, with angles of 90.00, 90.00 and 120.00 degrees. The inequivalent atoms are Hg at (0.0067, 0.6635, 0.2686), Se at (0.0000, 0.6598, 0.1667) and F at (0.0000, 0.6728, 0.6667).

Its magnetic moment is 0.000 μB/f.u. The value obtained for the density is 10.107 g/cm3.

(d)
A plane-wave DFT calculation with GGA-PBE was carried out for a geometry-optimized Hg2SeF structure.

The space group is P1 (No. 1) and the conventional cell measures 4.383, 5.635 and 8.797 Å, with angles of 89.05, 89.62 and 86.42 degrees. The inequivalent atoms are Hg at (0.000, 0.000, 0.000), Hg at (0.036, 0.012, 0.535), Hg at (0.357, 0.633, 0.099), Hg at (0.556, 0.543, 0.662), Se at (0.069, 0.313, 0.756), Se at (0.559, 0.818, 0.417), F at (0.608, 0.849, 0.847) and F at (0.667, 0.310, 0.115).

Its magnetic moment is 0.000 μB/f.u. The value obtained for the density is 7.647 g/cm3.

Energies relative to the minimum, meV per atom: (a) 140; (b) 222; (c) 282; (d) 0